[1]
Crystalline Pm2Sm3Tl3 at its relaxed geometry. Source: Alexandria via LeMat-Bulk, functional PBE.

Calculated values
As for the relative energy among the computed polymorphs: 17 meV/atom. For the energy of formation from the pure elements, the calculation gives -0.271 eV per atom.

Lattice parameters (Å, degrees): 4.5114 5.0367 11.0654 103.16 101.76 90.00
Fractional positions:
1 Sm 0.6184 0.6184 0.2368
2 Tl 0.8742 0.8742 0.7484
3 Tl 0.1258 0.1258 0.2516
4 Pm 0.7374 0.2374 0.4748
5 Sm 0.3816 0.3816 0.7632
6 Pm 0.2626 0.7626 0.5252
7 Sm 0.5000 0.0000 0.0000
8 Tl 0.0000 0.5000 0.0000

[2]
Crystalline Dy2CoCuC at its relaxed geometry. Source: Alexandria via LeMat-Bulk, functional PBE.

Calculated values
For the energy of formation from the pure elements, the calculation gives -0.324 eV per atom.

Lattice parameters (Å, degrees): 3.6010 4.9412 4.9412 90.00 90.00 90.00
Fractional positions:
1 C 0.0000 0.0000 0.0000
2 Dy 0.0000 0.5000 0.0000
3 Co 0.5000 0.0000 0.0000
4 Dy 0.0000 0.0000 0.5000
5 Cu 0.5000 0.5000 0.5000

[3]
Crystalline Be4Os5 at its relaxed geometry. Source: Alexandria via LeMat-Bulk, functional PBE.

Calculated values
As for the relative energy among the computed polymorphs: 0 meV/atom. For the energy of formation from the pure elements, the calculation gives 0.065 eV per atom.

Lattice parameters (Å, degrees): 7.0270 7.0270 4.8645 90.00 90.00 120.00
Fractional positions:
1 Os 0.7263 0.7263 0.7500
2 Os 0.6667 0.3333 0.5000
3 Os 0.2737 0.0000 0.7500
4 Os 0.0000 0.7263 0.2500
5 Be 0.0000 0.0000 0.5000
6 Os 0.7263 0.0000 0.2500
7 Os 0.6667 0.3333 0.0000
8 Be 0.0000 0.0000 0.0000
9 Be 0.0000 0.6103 0.7500
10 Os 0.3333 0.6667 0.0000
11 Os 0.3333 0.6667 0.5000
12 Be 0.6103 0.6103 0.2500
13 Be 0.0000 0.3897 0.2500
14 Os 0.0000 0.2737 0.7500
15 Be 0.6103 0.0000 0.7500
16 Be 0.3897 0.0000 0.2500
17 Os 0.2737 0.2737 0.2500
18 Be 0.3897 0.3897 0.7500

[4]
Crystalline Pu2BeNi4P3 at its relaxed geometry. Source: Alexandria via LeMat-Bulk, functional PBE.

Calculated values
For the energy of formation from the pure elements, the calculation gives -0.766 eV per atom.

Lattice parameters (Å, degrees): 3.8907 3.8907 9.2446 90.00 90.00 90.00
Fractional positions:
1 Ni 0.0000 0.0000 0.0000
2 Ni 0.0000 0.5000 0.3833
3 Pu 0.5000 0.0000 0.2534
4 P 0.0000 0.5000 0.1382
5 Ni 0.5000 0.0000 0.6167
6 Ni 0.5000 0.5000 0.0000
7 P 0.5000 0.0000 0.8618
8 Be 0.5000 0.5000 0.5000
9 P 0.0000 0.0000 0.5000
10 Pu 0.0000 0.5000 0.7466

[5]
Crystalline Ca2Pr7Nd12 at its relaxed geometry. Source: Alexandria via LeMat-Bulk, functional PBE.

Calculated values
For the energy of formation from the pure elements, the calculation gives 0.042 eV per atom.

Lattice parameters (Å, degrees): 3.6802 15.4554 15.4554 120.00 90.00 90.00
Fractional positions:
1 Nd 0.5000 0.5696 0.7329
2 Nd 0.0000 0.7899 0.7445
3 Ca 0.0000 0.6667 0.3333
4 Ca 0.5000 0.0000 0.0000
5 Pr 0.5000 0.4800 0.0999
6 Nd 0.0000 0.4033 0.4869
7 Pr 0.0000 0.0459 0.8116
8 Nd 0.5000 0.8714 0.5897
9 Nd 0.5000 0.4103 0.2817
10 Pr 0.0000 0.1884 0.2343
11 Nd 0.5000 0.2671 0.8368
12 Nd 0.0000 0.0836 0.5967
13 Nd 0.5000 0.7183 0.1286
14 Nd 0.5000 0.1632 0.4304
15 Pr 0.0000 0.3333 0.6667
16 Nd 0.0000 0.9545 0.2101
17 Nd 0.0000 0.2555 0.0455
18 Pr 0.5000 0.6199 0.5200
19 Pr 0.5000 0.9001 0.3801
20 Nd 0.0000 0.5131 0.9164
21 Pr 0.0000 0.7657 0.9541

[6]
Crystalline TlPt2Au at its relaxed geometry. Source: Alexandria via LeMat-Bulk, functional PBE.

Calculated values
For the energy of formation from the pure elements, the calculation gives 0.058 eV per atom.

Lattice parameters (Å, degrees): 3.0374 3.9660 5.9579 90.00 90.00 90.00
Fractional positions:
1 Pt 0.0000 0.0000 0.9953
2 Pt 0.0000 0.0000 0.5047
3 Tl 0.5000 0.5000 0.2500
4 Au 0.5000 0.5000 0.7500

[7]
Crystalline LiNd2BePd6 at its relaxed geometry. Source: Alexandria via LeMat-Bulk, functional PBE.

Calculated values
For the energy of formation from the pure elements, the calculation gives -0.606 eV per atom.

Lattice parameters (Å, degrees): 5.9438 6.8025 6.7681 52.11 64.27 90.17
Fractional positions:
1 Pd 0.2576 0.2270 0.4850
2 Pd 0.2579 0.7421 0.9709
3 Pd 0.7421 0.2579 0.0291
4 Pd 0.2289 0.2578 0.0286
5 Li 0.0000 0.0000 0.0000
6 Be 0.5000 0.5000 0.0000
7 Nd 0.2645 0.7356 0.4705
8 Nd 0.7355 0.2644 0.5295
9 Pd 0.7424 0.7730 0.5150
10 Pd 0.7711 0.7422 0.9714

[8]
Crystalline Tb4SnBiSe2 at its relaxed geometry. Source: Alexandria via LeMat-Bulk, functional PBE.

Calculated values
The formation energy (no corrections) comes out at -1.280 eV per atom.

Lattice parameters (Å, degrees): 4.2936 7.3987 7.4450 70.48 90.00 90.00
Fractional positions:
1 Tb 0.0000 0.2382 0.2603
2 Bi 0.5000 0.5000 0.0000
3 Tb 0.0000 0.7618 0.7397
4 Sn 0.0000 0.5000 0.5000
5 Se 0.5000 0.0000 0.5000
6 Tb 0.5000 0.7586 0.2524
7 Se 0.0000 0.0000 0.0000
8 Tb 0.5000 0.2414 0.7476

[9]
Crystalline La2ThAu6 at its relaxed geometry. Source: Alexandria via LeMat-Bulk, functional PBE.

Calculated values
For the energy of formation from the pure elements, the calculation gives -0.767 eV per atom.

Lattice parameters (Å, degrees): 3.5990 8.3200 8.3200 120.00 90.00 90.00
Fractional positions:
1 Th 0.0000 0.0000 0.0000
2 Au 0.5000 0.0000 0.6674
3 Au 0.5000 0.3326 0.0000
4 Au 0.5000 0.6674 0.0000
5 La 0.0000 0.6667 0.3333
6 La 0.0000 0.3333 0.6667
7 Au 0.5000 0.6674 0.6674
8 Au 0.5000 0.0000 0.3326
9 Au 0.5000 0.3326 0.3326

[10]
Crystalline Tm2Ag3Sn at its relaxed geometry. Source: Alexandria via LeMat-Bulk, functional PBE.

Calculated values
For the energy of formation from the pure elements, the calculation gives -0.355 eV per atom.

Lattice parameters (Å, degrees): 5.8531 5.8531 9.5836 114.01 114.01 70.59
Fractional positions:
1 Ag 0.3309 0.3309 0.1650
2 Sn 0.3345 0.3345 0.6689
3 Ag 0.8341 0.8341 0.1650
4 Tm 0.7566 0.2434 0.0000
5 Ag 0.1663 0.1663 0.3327
6 Ag 0.8337 0.8337 0.6673
7 Ag 0.6691 0.6691 0.8350
8 Tm 0.2434 0.7566 0.0000
9 Tm 0.2500 0.7500 0.5000
10 Ag 0.1659 0.1659 0.8350
11 Tm 0.7500 0.2500 0.5000
12 Sn 0.6655 0.6655 0.3311

[11]
Crystalline AsP2 at its relaxed geometry. Source: Alexandria via LeMat-Bulk, functional PBE.

Calculated values
As for the relative energy among the computed polymorphs: 138 meV/atom. For the energy of formation from the pure elements, the calculation gives 0.248 eV per atom.

Lattice parameters (Å, degrees): 3.1995 5.1796 4.4033 80.40 89.89 71.94
Fractional positions:
1 P 0.6705 0.2757 0.5924
2 P 0.0999 0.4150 0.8736
3 As 0.8768 0.8606 0.9878

[12]
Crystalline CaVC2 at its relaxed geometry. Source: Alexandria via LeMat-Bulk, functional PBE.

Calculated values
For the energy of formation from the pure elements, the calculation gives 0.365 eV per atom.

Lattice parameters (Å, degrees): 5.1405 5.1405 6.0460 64.84 64.84 90.00
Fractional positions:
1 Ca 0.2500 0.7500 0.5000
2 Ca 0.5000 0.5000 0.0000
3 C 0.7359 0.1250 0.2500
4 C 0.8750 0.9859 0.7500
5 V 0.0000 0.0000 0.0000
6 C 0.0141 0.6250 0.2500
7 C 0.3750 0.2641 0.7500
8 V 0.7500 0.2500 0.5000

[13]
Crystalline CaSc2Ga6 at its relaxed geometry. Source: Alexandria via LeMat-Bulk, functional PBE.

Calculated values
As for the relative energy among the computed polymorphs: 0 meV/atom. For the energy of formation from the pure elements, the calculation gives -0.496 eV per atom.

Lattice parameters (Å, degrees): 3.3752 7.6288 7.6288 120.00 90.00 90.00
Fractional positions:
1 Ga 0.5000 0.6629 0.0000
2 Ga 0.5000 0.6629 0.6629
3 Ca 0.0000 0.0000 0.0000
4 Ga 0.5000 0.0000 0.3371
5 Ga 0.5000 0.0000 0.6629
6 Sc 0.0000 0.3333 0.6667
7 Ga 0.5000 0.3371 0.3371
8 Sc 0.0000 0.6667 0.3333
9 Ga 0.5000 0.3371 0.0000

[14]
Crystalline Ta2GaAs2 at its relaxed geometry. Source: Alexandria via LeMat-Bulk, functional PBE.

Calculated values
As for the relative energy among the computed polymorphs: 208 meV/atom. For the energy of formation from the pure elements, the calculation gives -0.018 eV per atom.

Lattice parameters (Å, degrees): 7.3257 7.3257 3.2704 90.00 90.00 90.00
Fractional positions:
1 As 0.6413 0.1413 0.0000
2 Ga 0.0000 0.0000 0.0000
3 As 0.1413 0.3587 0.0000
4 Ta 0.8473 0.3473 0.5000
5 Ga 0.5000 0.5000 0.0000
6 Ta 0.3473 0.1527 0.5000
7 Ta 0.6527 0.8473 0.5000
8 As 0.8587 0.6413 0.0000
9 Ta 0.1527 0.6527 0.5000
10 As 0.3587 0.8587 0.0000